[1]
The following is a DFT calculation (PBE) of KLiFeTc2 after structural relaxation.

Values from the calculation:
energy of formation from the pure elements = 1.11 eV/atom
uncorrected energy = -5.3308 eV per atom

Cell: 4.4744 5.2458 4.4744 Å, 90.00 90.00 90.00°
Last column: nearest neighbours and their distance in Å.
Sites, in units of the cell vectors:
Tc (0.5000, 0.0000, 0.0000)  2 Fe 2.24
Tc (0.0000, 0.0000, 0.5000)  2 Fe 2.24
Li (0.0000, 0.5000, 0.0000)  2 Fe 2.62
Fe (0.0000, 0.0000, 0.0000)  4 Tc 2.24
K (0.5000, 0.5000, 0.5000)  4 Li 3.16, 8 Tc 3.45

---

[2]
The following is a DFT calculation (PBE) of KLiVFe2 after structural relaxation.

Values from the calculation:
energy of formation from the pure elements = 1.62 eV/atom
uncorrected energy = -4.1871 eV per atom

Cell: 4.5986 4.5986 4.4820 Å, 90.00 90.00 90.00°
Last column: nearest neighbours and their distance in Å.
Sites, in units of the cell vectors:
Fe (0.0000, 0.5000, 0.0000)  2 Li 2.30
Fe (0.5000, 0.0000, 0.0000)  2 Li 2.30
Li (0.0000, 0.0000, 0.0000)  2 V 2.24, 4 Fe 2.30
K (0.5000, 0.5000, 0.5000)  8 Fe 3.21, 4 V 3.25
V (0.0000, 0.0000, 0.5000)  2 Li 2.24